# 1
The following is a PBE calculation of a relaxed PaSiOs2C crystal, from Alexandria via LeMat-Bulk.

Calculated values
Space group: Cmcm, No. 63
Total energy (eV/cell): -97.65
N(E_F) (states/eV/cell): 8.41
Magnetization (μB per cell): 0.0
Energy relative to the elements, uncorrected (eV per atom): -0.44

a b c (Å): 3.8889 5.9808 7.0374
angles (deg): 90.00 90.00 108.97
Element x y z (fractional)
Pa 0.4439 0.8879 0.7500
Pa 0.5561 0.1121 0.2500
Si 0.7254 0.4508 0.7500
Si 0.2746 0.5492 0.2500
Os 0.1645 0.3291 0.9468
Os 0.8355 0.6709 0.0532
Os 0.1645 0.3291 0.5532
Os 0.8355 0.6709 0.4468
C 0.0000 0.0000 0.0000
C 0.0000 0.0000 0.5000

---

# 2
The following is a PBE calculation of a relaxed LaCoMo crystal, from Alexandria via LeMat-Bulk.

Calculated values
Space group: P2_1/m, No. 11
Total energy (eV/cell): -45.11
N(E_F) (states/eV/cell): 6.50
Magnetization (μB per cell): 0.0

a b c (Å): 5.3629 4.1849 5.4156
angles (deg): 90.00 101.05 90.00
Element x y z (fractional)
Mo 0.4671 0.2500 0.3547
Mo 0.5329 0.7500 0.6453
Co 0.5744 0.2500 0.9002
Co 0.4256 0.7500 0.0998
La 0.0605 0.2500 0.7568
La 0.9395 0.7500 0.2432

---

# 3
The following is a PBE calculation of a relaxed NaSbTeSe3 crystal, from Alexandria via LeMat-Bulk.

Calculated values
Space group: P2_1/m, No. 11
Total energy (eV/cell): -42.33
N(E_F) (states/eV/cell): 5.63
Magnetization (μB per cell): 0.0
Energy relative to the elements, uncorrected (eV per atom): -0.35

a b c (Å): 3.9637 8.2324 11.0509
angles (deg): 113.71 90.00 90.00
Element x y z (fractional)
Na 0.7500 0.7438 0.7745
Na 0.2500 0.2562 0.2255
Sb 0.2500 0.7270 0.1276
Sb 0.7500 0.2730 0.8724
Te 0.2500 0.1536 0.5435
Te 0.7500 0.8464 0.4565
Se 0.2500 0.6344 0.5128
Se 0.7500 0.9415 0.1020
Se 0.7500 0.4571 0.1296
Se 0.7500 0.3656 0.4872
Se 0.2500 0.5429 0.8704
Se 0.2500 0.0585 0.8980